(1)
Crystalline HgC3S at its relaxed geometry. Source: Alexandria, functional PBE.

Lattice parameters (Å, degrees): 4.338 4.338 4.338 90.00 90.00 90.00
Space group Pm-3m (No. 221)
Symmetry-distinct sites (fractional):
Hg1 0.000 0.000 0.000
C1 0.000 0.000 0.500
S1 0.500 0.500 0.500

M_tot (μB per atom): 0.51
ΔE to the lowest computed polymorph (eV/atom): 0.952
VASP energy (eV/atom): -2.729
ΔE_f (raw) (eV per atom): 3.69

(2)
Crystalline MnReTcMo at its relaxed geometry. Source: Alexandria, functional PBE.

Lattice parameters (Å, degrees): 6.158 6.158 6.158 90.00 90.00 90.00
Space group F-43m (No. 216)
Symmetry-distinct sites (fractional):
Mn1 0.000 0.000 0.000
Re1 0.250 0.250 0.750
Tc1 0.250 0.250 0.250
Mo1 0.000 0.000 0.500

M_tot (μB per atom): 0.71
VASP energy (eV/atom): -10.631
DFT formation energy (eV per atom): 0.07